No. 1
Crystalline Pa2PdWN6 at its relaxed geometry, computed with PBE.

- total moment (μB/f.u.) = 0.00
- energy (eV per cell) = -92.5
- V (Å³ per cell) = 141
- raw formation energy (eV per atom) = -0.54

Lattice parameters (Å, degrees): 5.392 5.392 4.834 90.00 90.00 90.00
Space group P4mm (No. 99)
Symmetry-distinct sites (fractional):
Pa 0.000 0.500 0.000 x2
Pd 0.000 0.000 0.632 x1
W 0.500 0.500 0.589 x1
N 0.000 0.000 0.167 x1
N 0.262 0.262 0.746 x4
N 0.500 0.500 0.206 x1

No. 2
Crystalline MnAl2Ni9 at its relaxed geometry, computed with PBE.

- total moment (μB/f.u.) = 5.36
- energy (eV per cell) = -72.5
- V (Å³ per cell) = 136
- formation enthalpy at 0 K (eV/atom) = -0.32

Lattice parameters (Å, degrees): 3.565 3.565 10.667 90.00 90.00 90.00
Space group P4/mmm (No. 123)
Symmetry-distinct sites (fractional):
Mn 0.000 0.000 0.000 x1
Al 0.000 0.000 0.334 x2
Ni 0.000 0.500 0.166 x4
Ni 0.000 0.500 0.500 x2
Ni 0.500 0.500 0.000 x1
Ni 0.500 0.500 0.333 x2

No. 3
Crystalline TbMg2Zn at its relaxed geometry, computed with PBE.

- total moment (μB/f.u.) = 0.00
- energy (eV per cell) = -9.6
- V (Å³ per cell) = 93
- formation enthalpy at 0 K (eV/atom) = -0.12

Lattice parameters (Å, degrees): 4.365 4.365 4.860 90.00 90.00 90.00
Space group P4/mmm (No. 123)
Symmetry-distinct sites (fractional):
Tb 0.000 0.000 0.000 x1
Mg 0.000 0.500 0.500 x2
Zn 0.500 0.500 0.000 x1